Run 1
First-principles (PBE-GGA) data for a relaxed structure of AcLaHgPb, as listed in the Alexandria database.

Cell lengths 4.0543, 4.0543, 7.9933 Å; angles 90.00, 90.00, 90.00 degrees
Positions (direct):
Ac (0.0000, 0.0000, 0.8516)
La (0.0000, 0.0000, 0.3632)
Hg (0.5000, 0.5000, 0.5949)
Pb (0.5000, 0.5000, 0.1182)

Summary:
Symmetry   No. 99
Calculated volume   131 Å³ per cell
DOS at the Fermi energy   3.88 states/eV per cell



Run 2
First-principles (PBE-GGA) data for a relaxed structure of AcLaHgPb, as listed in the Alexandria database.

Cell lengths 5.7132, 5.7132, 5.7132 Å; angles 60.00, 60.00, 60.00 degrees
Positions (direct):
Pb (0.2500, 0.2500, 0.2500)
Ac (0.0000, 0.0000, 0.0000)
Hg (0.7500, 0.7500, 0.7500)
La (0.5000, 0.5000, 0.5000)

Summary:
Symmetry   No. 216
Calculated volume   132 Å³ per cell
DOS at the Fermi energy   5.79 states/eV per cell



Stability ranking, top and bottom: run 2 is the most stable and run 1 is the least stable.